[1]
VASP calculation (PBE) on a geometry-optimized Zr2In4Sn structure.

Cell lengths 6.248, 6.248, 6.239 Å; angles 120.01, 120.01, 89.94 degrees
Element x y z (fractional)
Zr 0.786 0.286 0.571
Zr 0.286 0.786 0.571
Sn 0.786 0.786 0.572
In 0.786 0.286 0.071
In 0.286 0.786 0.071
In 0.786 0.786 0.072
In 0.286 0.286 0.071

Calculated values
Fermi-level density of states = 2.8 states/eV/cell
Energy of formation from the pure elements = -0.082 eV/atom
Electronic total energy = -4.661 eV per atom

---

[2]
VASP calculation (PBE) on a geometry-optimized Sc2PdPt2 structure.

Cell lengths 4.536, 4.536, 6.019 Å; angles 67.87, 67.87, 90.00 degrees
Element x y z (fractional)
Sc 0.250 0.750 0.500
Sc 0.750 0.250 0.500
Pt 0.623 0.623 0.754
Pt 0.377 0.377 0.246
Pd 0.000 0.000 0.000

Calculated values
Fermi-level density of states = 0.3 states/eV/cell
Energy above the most stable polymorph in this dataset = 0.257 eV per atom
Energy of formation from the pure elements = -0.652 eV/atom
Electronic total energy = -6.639 eV per atom